Entry 1:
Th2NpPd9 | GGA-PBE | relaxed Values from VASP.

The structure in Quantum ESPRESSO input format:
```
&SYSTEM
  ibrav = 0, nat = 12, ntyp = 3
/
ATOMIC_SPECIES
Pd 106.42 Pd.upf
Th 232.04 Th.upf
Np 237.00 Np.upf
CELL_PARAMETERS angstrom
4.2015 0.0000 0.0000
0.0000 4.2015 0.0000
0.0000 0.0000 12.6024
ATOMIC_POSITIONS crystal
Pd 0.5000 0.5000 0.0000
Pd 0.5000 0.5000 0.3342
Pd 0.0000 0.5000 0.8328
Pd 0.0000 0.5000 0.5000
Pd 0.5000 0.5000 0.6658
Pd 0.5000 0.0000 0.5000
Pd 0.5000 0.0000 0.8328
Pd 0.5000 0.0000 0.1672
Pd 0.0000 0.5000 0.1672
Th 0.0000 0.0000 0.3303
Th 0.0000 0.0000 0.6697
Np 0.0000 0.0000 0.0000
```

Entry 2:
Th4NpPd15 | GGA-PBE | relaxed Values from VASP.

The structure in Quantum ESPRESSO input format:
```
&SYSTEM
  ibrav = 0, nat = 20, ntyp = 3
/
ATOMIC_SPECIES
Pd 106.42 Pd.upf
Np 237.00 Np.upf
Th 232.04 Th.upf
CELL_PARAMETERS angstrom
4.2049 0.0000 0.0000
0.0000 4.2049 0.0000
0.0000 0.0000 21.0791
ATOMIC_POSITIONS crystal
Pd 0.5000 0.5000 0.0000
Pd 0.5000 0.5000 0.5999
Pd 0.5000 0.5000 0.7994
Pd 0.0000 0.5000 0.8997
Pd 0.0000 0.5000 0.7002
Pd 0.0000 0.5000 0.2998
Pd 0.0000 0.5000 0.1003
Pd 0.5000 0.0000 0.5000
Pd 0.0000 0.5000 0.5000
Pd 0.5000 0.0000 0.2998
Pd 0.5000 0.0000 0.8997
Pd 0.5000 0.5000 0.4001
Pd 0.5000 0.0000 0.7002
Pd 0.5000 0.0000 0.1003
Pd 0.5000 0.5000 0.2006
Np 0.0000 0.0000 0.0000
Th 0.0000 0.0000 0.3992
Th 0.0000 0.0000 0.1970
Th 0.0000 0.0000 0.8030
Th 0.0000 0.0000 0.6008
```

Entry 3:
NpTiPd2 | GGA-PBE | relaxed Values from VASP.

The structure in Quantum ESPRESSO input format:
```
&SYSTEM
  ibrav = 0, nat = 4, ntyp = 3
/
ATOMIC_SPECIES
Pd 106.42 Pd.upf
Np 237.00 Np.upf
Ti 47.87 Ti.upf
CELL_PARAMETERS angstrom
2.9341 0.0000 0.0000
0.0000 2.9341 0.0000
0.0000 0.0000 8.2120
ATOMIC_POSITIONS crystal
Pd 0.0000 0.0000 0.2164
Pd 0.0000 0.0000 0.7836
Np 0.5000 0.5000 0.5000
Ti 0.5000 0.5000 0.0000
```

Entry 4:
NpTiPd14 | GGA-PBE | relaxed Values from VASP.

The structure in Quantum ESPRESSO input format:
```
&SYSTEM
  ibrav = 0, nat = 16, ntyp = 3
/
ATOMIC_SPECIES
Pd 106.42 Pd.upf
Ti 47.87 Ti.upf
Np 237.00 Np.upf
CELL_PARAMETERS angstrom
-2.0997 2.5742 -4.6542
-4.3015 -3.7647 -0.1421
-4.2520 4.6879 4.5111
ATOMIC_POSITIONS crystal
Pd 0.1207 0.6293 0.7466
Pd 0.6293 0.1207 0.7466
Pd 0.8750 0.8750 0.0000
Pd 0.1207 0.6293 0.2534
Pd 0.6292 0.6292 0.7467
Pd 0.1208 0.1208 0.2534
Pd 0.3750 0.3750 0.0000
Pd 0.8750 0.3750 0.0000
Pd 0.6292 0.6292 0.2533
Pd 0.3750 0.8750 0.5000
Pd 0.3750 0.8750 0.0000
Pd 0.8750 0.3750 0.5000
Pd 0.1208 0.1208 0.7466
Pd 0.6293 0.1207 0.2534
Ti 0.8750 0.8750 0.5000
Np 0.3750 0.3750 0.5000
```

In order of appearance, calculated formation energy = -0.772, -0.828, -0.306, -0.291 eV/atom.